Record 1
The following is a DFT calculation (PBE+U) of NaCr2AgO after structural relaxation.

Properties
SG: P4/mmm

Cell lengths 5.149, 5.341, 5.149 Å; angles 90.00, 90.00, 90.00 degrees
Each line ends with the local moment (μB).
Fractional coordinates of all 5 atoms:
Na (0.000, 0.500, 0.000)  0.01
Cr (0.000, 0.000, 0.500)  4.49
Cr (0.500, 0.000, 0.000)  4.46
Ag (0.000, 0.000, 0.000)  0.13
O (0.500, 0.500, 0.500)  -0.51

=====

Record 2
The following is a DFT calculation (PBE+U) of Na2CrAgO4 after structural relaxation.

Properties
SG: I-42m

Cell lengths 5.084, 5.084, 5.958 Å; angles 115.26, 115.26, 89.99 degrees
Each line ends with the local moment (μB).
Fractional coordinates of all 8 atoms:
O (0.198, 0.198, 0.794)  -0.03
O (0.802, 0.403, 0.206)  -0.03
O (0.403, 0.802, 0.206)  -0.03
O (0.597, 0.597, 0.794)  -0.03
Na (0.250, 0.750, 0.500)  0.00
Na (0.750, 0.250, 0.500)  0.00
Ag (0.000, 0.000, 0.000)  0.01
Cr (0.500, 0.500, 0.000)  1.09

=====

Record 3
The following is a DFT calculation (PBE+U) of NaCrAgO4 after structural relaxation.

Properties
SG: P2_1/m

Cell lengths 5.913, 6.086, 6.538 Å; angles 90.00, 95.91, 90.00 degrees
Fractional coordinates of all 14 atoms:
O (0.138, 0.528, 0.292)
O (0.138, 0.972, 0.292)
O (0.862, 0.472, 0.708)
O (0.427, 0.750, 0.566)
O (0.517, 0.750, 0.171)
O (0.573, 0.250, 0.434)
O (0.862, 0.028, 0.708)
O (0.483, 0.250, 0.829)
Na (0.825, 0.750, 0.435)
Na (0.175, 0.250, 0.565)
Cr (0.693, 0.250, 0.673)
Cr (0.307, 0.750, 0.327)
Ag (0.328, 0.250, 0.117)
Ag (0.672, 0.750, 0.883)

=====

Calculated values (eV per atom) of final energy for the records, taken in order: -3.86 -5.38 -5.63.